(1)
A relaxed V2CrSbTe crystal, computed with GGA-PBE.

Cell and atoms, written as CIF:
```
data_V2CrSbTe
_symmetry_space_group_name_H-M 'P 4/m m m'
_symmetry_Int_Tables_number 123
_symmetry_space_group_name_Hall '-P 4 2'
_cell_length_a 4.9486
_cell_length_b 4.9486
_cell_length_c 5.7621
_cell_angle_alpha 90.00
_cell_angle_beta 90.00
_cell_angle_gamma 90.00
loop_
_atom_site_label
_atom_site_fract_x
_atom_site_fract_y
_atom_site_fract_z
V1 0.0000 0.5000 0.0000
Cr1 0.0000 0.0000 0.5000
Sb1 0.5000 0.5000 0.5000
Te1 0.5000 0.5000 0.0000
```

* spin magnetization: 5.75 μB per formula unit
* calculated density: 4.745 Mg/m³
* DFT total energy: -5.170 eV/atom
* V: 28.221 Å³ per atom

---

(2)
A relaxed Tb5NdSc2 crystal, computed with GGA-PBE.

Cell and atoms, written as CIF:
```
data_Tb5NdSc2
_symmetry_space_group_name_H-M 'P b a m'
_symmetry_Int_Tables_number 55
_symmetry_space_group_name_Hall '-P 2 2ab'
_cell_length_a 7.0067
_cell_length_b 14.0160
_cell_length_c 4.9313
_cell_angle_alpha 90.00
_cell_angle_beta 90.00
_cell_angle_gamma 90.00
loop_
_atom_site_label
_atom_site_fract_x
_atom_site_fract_y
_atom_site_fract_z
Tb1 0.0000 0.0000 0.0000
Tb2 0.0033 0.2491 0.0000
Tb3 0.2468 0.8739 0.5000
Nd1 0.0000 0.5000 0.0000
Sc1 0.2483 0.6258 0.5000
```

* spin magnetization: 0.00 μB per formula unit
* calculated density: 7.055 Mg/m³
* DFT formation energy: 0.04 eV per atom
* V: 30.268 Å³ per atom

---

(3)
A relaxed PrMg2Al2Zn crystal, computed with GGA-PBE.

Cell and atoms, written as CIF:
```
data_PrMg2Al2Zn
_symmetry_space_group_name_H-M 'I 4/m m m'
_symmetry_Int_Tables_number 139
_symmetry_space_group_name_Hall '-I 4 2'
_cell_length_a 4.2823
_cell_length_b 4.2823
_cell_length_c 16.9810
_cell_angle_alpha 90.00
_cell_angle_beta 90.00
_cell_angle_gamma 90.00
loop_
_atom_site_label
_atom_site_fract_x
_atom_site_fract_y
_atom_site_fract_z
Pr1 0.0000 0.0000 0.0000
Mg1 0.0000 0.5000 0.2500
Al1 0.0000 0.0000 0.3621
Zn1 0.0000 0.0000 0.5000
```

* spin magnetization: 0.00 μB per formula unit
* calculated density: 3.294 Mg/m³
* DFT formation energy: 0.15 eV per atom
* V: 25.949 Å³ per atom